# LiBe3Sb | the Alexandria database | meta-GGA SCAN | single point on PBEsol structure
data_LiBe3Sb
_chemical_formula_sum 'Li1 Be3 Sb1'
_cell_length_a 4.0865
_cell_length_b 4.0865
_cell_length_c 4.0865
_cell_angle_alpha 90.00
_cell_angle_beta 90.00
_cell_angle_gamma 90.00
_symmetry_space_group_name_H-M 'P m -3 m'
_symmetry_Int_Tables_number 221
_symmetry_space_group_name_Hall '-P 4 2 3'
loop_
_atom_site_label
_atom_site_fract_x
_atom_site_fract_y
_atom_site_fract_z
Li1 0.0000 0.0000 0.0000
Be1 0.0000 0.0000 0.5000
Sb1 0.5000 0.5000 0.5000
# Formation energy (no corrections) ... 983 meV/atom



# LiBeSbTe2 | the Alexandria database | meta-GGA SCAN | single point on PBEsol structure
data_LiBeSbTe2
_chemical_formula_sum 'Li1 Be1 Sb1 Te2'
_cell_length_a 5.0147
_cell_length_b 5.0147
_cell_length_c 4.7929
_cell_angle_alpha 90.00
_cell_angle_beta 90.00
_cell_angle_gamma 90.00
_symmetry_space_group_name_H-M 'P 4/m m m'
_symmetry_Int_Tables_number 123
_symmetry_space_group_name_Hall '-P 4 2'
loop_
_atom_site_label
_atom_site_fract_x
_atom_site_fract_y
_atom_site_fract_z
Li1 0.0000 0.0000 0.0000
Be1 0.5000 0.5000 0.5000
Sb1 0.0000 0.0000 0.5000
Te1 0.0000 0.5000 0.0000
# Energy above the most stable polymorph in this dataset ... 0.6119 eV/atom
# Formation energy (no corrections) ... 769 meV/atom



# LiBeSbTe2 | the Alexandria database | meta-GGA SCAN | single point on PBEsol structure
data_LiBeSbTe2
_chemical_formula_sum 'Li1 Be1 Sb1 Te2'
_cell_length_a 5.2324
_cell_length_b 5.2324
_cell_length_c 4.6386
_cell_angle_alpha 90.00
_cell_angle_beta 90.00
_cell_angle_gamma 90.00
_symmetry_space_group_name_H-M 'P 4/m m m'
_symmetry_Int_Tables_number 123
_symmetry_space_group_name_Hall '-P 4 2'
loop_
_atom_site_label
_atom_site_fract_x
_atom_site_fract_y
_atom_site_fract_z
Li1 0.0000 0.0000 0.0000
Be1 0.5000 0.5000 0.5000
Sb1 0.5000 0.5000 0.0000
Te1 0.0000 0.5000 0.5000
# Energy above the most stable polymorph in this dataset ... 0.0000 eV/atom
# Formation energy (no corrections) ... 157 meV/atom



# LiSc2Be | the Alexandria database | meta-GGA SCAN | single point on PBEsol structure
data_LiSc2Be
_chemical_formula_sum 'Li2 Sc4 Be2'
_cell_length_a 3.1118
_cell_length_b 4.6415
_cell_length_c 9.8582
_cell_angle_alpha 90.00
_cell_angle_beta 90.00
_cell_angle_gamma 90.00
_symmetry_space_group_name_H-M 'I m m 2'
_symmetry_Int_Tables_number 44
loop_
_symmetry_equiv_pos_as_xyz
'x,y,z'
'-x,-y,z'
'-x,y,z'
'x,-y,z'
'x+1/2,y+1/2,z+1/2'
'-x+1/2,-y+1/2,z+1/2'
'-x+1/2,y+1/2,z+1/2'
'x+1/2,-y+1/2,z+1/2'
loop_
_atom_site_label
_atom_site_fract_x
_atom_site_fract_y
_atom_site_fract_z
Li1 0.0000 0.0000 0.0000
Sc1 0.0000 0.0000 0.5836
Sc2 0.0000 0.5000 0.7928
Be1 0.0000 0.5000 0.3116
# Calculated formation energy ... 0.1572 eV/atom



# LiScBe2 | the Alexandria database | meta-GGA SCAN | single point on PBEsol structure
data_LiScBe2
_chemical_formula_sum 'Li2 Sc2 Be4'
_cell_length_a 3.8983
_cell_length_b 2.9533
_cell_length_c 9.9774
_cell_angle_alpha 90.00
_cell_angle_beta 90.00
_cell_angle_gamma 90.00
_symmetry_space_group_name_H-M 'A m m 2'
_symmetry_Int_Tables_number 38
loop_
_symmetry_equiv_pos_as_xyz
'x,y,z'
'-x,-y,z'
'-x,y,z'
'x,-y,z'
'x,y+1/2,z+1/2'
'-x,-y+1/2,z+1/2'
'-x,y+1/2,z+1/2'
'x,-y+1/2,z+1/2'
loop_
_atom_site_label
_atom_site_fract_x
_atom_site_fract_y
_atom_site_fract_z
Li1 0.0000 0.0000 0.0000
Sc1 0.5000 0.0000 0.3068
Be1 0.0000 0.0000 0.6985
Be2 0.5000 0.0000 0.5935
# Energy above the most stable polymorph in this dataset ... 0.0000 eV/atom
# Calculated formation energy ... 0.1697 eV/atom



# LiSc2Be | the Alexandria database | meta-GGA SCAN | single point on PBEsol structure
data_LiSc2Be
_chemical_formula_sum 'Li3 Sc6 Be3'
_cell_length_a 3.1168
_cell_length_b 3.1168
_cell_length_c 29.3349
_cell_angle_alpha 90.00
_cell_angle_beta 90.00
_cell_angle_gamma 120.00
_symmetry_space_group_name_H-M 'R -3 m'
_symmetry_Int_Tables_number 166
_symmetry_space_group_name_Hall '-R 3 2"'
loop_
_atom_site_label
_atom_site_fract_x
_atom_site_fract_y
_atom_site_fract_z
Li1 0.0000 0.0000 0.0000
Sc1 0.0000 0.0000 0.1021
Be1 0.0000 0.0000 0.5000
# Calculated formation energy ... 0.2968 eV/atom



# Li2ScBe | the Alexandria database | meta-GGA SCAN | single point on PBEsol structure
data_Li2ScBe
_chemical_formula_sum 'Li4 Sc2 Be2'
_cell_length_a 3.9877
_cell_length_b 3.9877
_cell_length_c 7.8847
_cell_angle_alpha 90.00
_cell_angle_beta 90.00
_cell_angle_gamma 90.00
_symmetry_space_group_name_H-M 'I 4/m m m'
_symmetry_Int_Tables_number 139
_symmetry_space_group_name_Hall '-I 4 2'
loop_
_atom_site_label
_atom_site_fract_x
_atom_site_fract_y
_atom_site_fract_z
Li1 0.0000 0.5000 0.2500
Sc1 0.0000 0.0000 0.0000
Be1 0.0000 0.0000 0.5000
# Calculated formation energy ... 0.2613 eV/atom



# LiScBe | the Alexandria database | meta-GGA SCAN | single point on PBEsol structure
data_LiScBe
_chemical_formula_sum 'Li4 Sc4 Be4'
_cell_length_a 6.0460
_cell_length_b 6.0460
_cell_length_c 6.0460
_cell_angle_alpha 90.00
_cell_angle_beta 90.00
_cell_angle_gamma 90.00
_symmetry_space_group_name_H-M 'F -4 3 m'
_symmetry_Int_Tables_number 216
_symmetry_space_group_name_Hall 'F -4 2 3'
loop_
_atom_site_label
_atom_site_fract_x
_atom_site_fract_y
_atom_site_fract_z
Li1 0.0000 0.0000 0.0000
Sc1 0.0000 0.0000 0.5000
Be1 0.2500 0.2500 0.2500
# Calculated formation energy ... 0.4881 eV/atom